1.
# Sc3AgAu

A relaxed Sc3AgAu crystal (PBE, the Alexandria database).

ΔE to the lowest computed polymorph = 0 meV per atom
M_tot = 3.81 μB/cell
E_tot = -5.447 eV/atom
crystal system = orthorhombic
density of states at the Fermi level = 0.8261 states/eV per atom
energy of formation from the pure elements = -0.422 eV/atom

```
data_Sc3AgAu
_chemical_formula_sum 'Sc12 Ag4 Au4'
_space_group_name_H-M_alt 'C m c m'
_space_group_IT_number 63
_space_group_name_Hall '-C 2c 2'
_cell_length_a 4.7750
_cell_length_b 18.4072
_cell_length_c 4.7703
_cell_angle_alpha 90.00
_cell_angle_beta 90.00
_cell_angle_gamma 90.00
loop_
_atom_site_label
_atom_site_fract_x
_atom_site_fract_y
_atom_site_fract_z
Sc1 0.0000 0.0607 0.2500
Sc2 0.0000 0.2501 0.2500
Sc3 0.0000 0.4389 0.2500
Ag1 0.0000 0.1535 0.7500
Au1 0.0000 0.3433 0.7500
```

=====

2.
# ScAgAu2

A relaxed ScAgAu2 crystal (PBE, the Alexandria database).

M_tot = 0.00 μB/cell
E_tot = -3.911 eV/atom
crystal system = orthorhombic
density of states at the Fermi level = 0.6367 states/eV per atom
energy of formation from the pure elements = 0.024 eV/atom

```
data_ScAgAu2
_chemical_formula_sum 'Sc2 Ag2 Au4'
_space_group_name_H-M_alt 'I m m m'
_space_group_IT_number 71
_space_group_name_Hall '-I 2 2'
_cell_length_a 3.1100
_cell_length_b 4.7757
_cell_length_c 11.1054
_cell_angle_alpha 90.00
_cell_angle_beta 90.00
_cell_angle_gamma 90.00
loop_
_atom_site_label
_atom_site_fract_x
_atom_site_fract_y
_atom_site_fract_z
Sc1 0.0000 0.0000 0.0000
Ag1 0.0000 0.0000 0.5000
Au1 0.0000 0.0000 0.2491
```